{
  "formula": "DyRePO",
  "functional": "PBE-GGA",
  "state": "optimized geometry",
  "energy_ev_per_atom": -8.16,
  "crystal_system": "orthorhombic",
  "cell": [[4.3719, 0.0000, 0.0000], [0.0000, 4.4061, 0.0000], [0.0000, 0.0000, 6.2513]],
  "species": ["Dy", "Dy", "Re", "Re", "P", "P", "O", "O"],
  "fractional_positions": [[0.0000, 0.1868, 0.0000], [0.0000, 0.8132, 0.5000], [0.5000, 0.3517, 0.3496], [0.5000, 0.6483, 0.8496], [0.5000, 0.1510, 0.6993], [0.5000, 0.8490, 0.1993], [0.0000, 0.3394, 0.3438], [0.0000, 0.6606, 0.8438]]
}

{
  "formula": "DyRePO",
  "functional": "PBE-GGA",
  "state": "optimized geometry",
  "energy_ev_per_atom": -7.92,
  "crystal_system": "orthorhombic",
  "cell": [[4.0365, 0.0000, 0.0000], [0.0000, 6.0770, 0.0000], [0.0000, 0.0000, 5.5070]],
  "species": ["Dy", "Dy", "Re", "Re", "P", "P", "O", "O"],
  "fractional_positions": [[0.0000, 0.1623, 0.0000], [0.0000, 0.8377, 0.5000], [0.5000, 0.4446, 0.7345], [0.5000, 0.5554, 0.2345], [0.0000, 0.3199, 0.5087], [0.0000, 0.6801, 0.0087], [0.5000, 0.2589, 0.0531], [0.5000, 0.7411, 0.5531]]
}

{
  "formula": "DyRePO",
  "functional": "PBE-GGA",
  "state": "optimized geometry",
  "energy_ev_per_atom": -6.86,
  "crystal_system": "tetragonal",
  "cell": [[4.3009, 0.0000, 0.0000], [0.0000, 4.3009, 0.0000], [0.0000, 0.0000, 6.5418]],
  "species": ["Dy", "Dy", "Re", "Re", "P", "P", "O", "O"],
  "fractional_positions": [[0.2500, 0.7500, 0.0000], [0.7500, 0.2500, 0.0000], [0.2500, 0.2500, 0.3728], [0.7500, 0.7500, 0.6272], [0.2500, 0.2500, 0.7294], [0.7500, 0.7500, 0.2706], [0.2500, 0.7500, 0.5000], [0.7500, 0.2500, 0.5000]]
}

{
  "formula": "DyRePO",
  "functional": "PBE-GGA",
  "state": "optimized geometry",
  "energy_ev_per_atom": -8.63,
  "crystal_system": "tetragonal",
  "cell": [[3.9152, 0.0000, 0.0000], [0.0000, 3.9152, 0.0000], [0.0000, 0.0000, 8.2963]],
  "species": ["Dy", "Dy", "Re", "Re", "P", "P", "O", "O"],
  "fractional_positions": [[0.2500, 0.2500, 0.1326], [0.7500, 0.7500, 0.8674], [0.2500, 0.7500, 0.5000], [0.7500, 0.2500, 0.5000], [0.2500, 0.2500, 0.6704], [0.7500, 0.7500, 0.3296], [0.2500, 0.7500, 0.0000], [0.7500, 0.2500, 0.0000]]
}

{
  "formula": "DyScPO",
  "functional": "PBE-GGA",
  "state": "optimized geometry",
  "energy_ev_per_atom": -7.38,
  "crystal_system": "orthorhombic",
  "cell": [[4.1450, 0.0000, 0.0000], [0.0000, 6.8526, 0.0000], [0.0000, 0.0000, 5.7177]],
  "species": ["Dy", "Dy", "Sc", "Sc", "P", "P", "O", "O"],
  "fractional_positions": [[0.0000, 0.2020, 0.0000], [0.0000, 0.7980, 0.5000], [0.5000, 0.3859, 0.5872], [0.5000, 0.6141, 0.0872], [0.0000, 0.1936, 0.4934], [0.0000, 0.8064, 0.9934], [0.5000, 0.3376, 0.9457], [0.5000, 0.6624, 0.4457]]
}

{
  "formula": "DyScPO",
  "functional": "PBE-GGA",
  "state": "optimized geometry",
  "energy_ev_per_atom": -7.42,
  "crystal_system": "tetragonal",
  "cell": [[4.1235, 0.0000, 0.0000], [0.0000, 4.1235, 0.0000], [0.0000, 0.0000, 8.5000]],
  "species": ["Dy", "Dy", "Sc", "Sc", "P", "P", "O", "O"],
  "fractional_positions": [[0.2500, 0.2500, 0.1165], [0.7500, 0.7500, 0.8835], [0.2500, 0.7500, 0.5000], [0.7500, 0.2500, 0.5000], [0.2500, 0.2500, 0.6828], [0.7500, 0.7500, 0.3172], [0.2500, 0.7500, 0.0000], [0.7500, 0.2500, 0.0000]]
}

{
  "formula": "DyScPO",
  "functional": "PBE-GGA",
  "state": "optimized geometry",
  "energy_ev_per_atom": -7.04,
  "crystal_system": "tetragonal",
  "cell": [[4.4683, 0.0000, 0.0000], [0.0000, 4.4683, 0.0000], [0.0000, 0.0000, 8.3805]],
  "species": ["Dy", "Dy", "Sc", "Sc", "P", "P", "O", "O"],
  "fractional_positions": [[0.2500, 0.7500, 0.0000], [0.7500, 0.2500, 0.0000], [0.2500, 0.2500, 0.4853], [0.7500, 0.7500, 0.5147], [0.2500, 0.2500, 0.1798], [0.7500, 0.7500, 0.8202], [0.2500, 0.7500, 0.5000], [0.7500, 0.2500, 0.5000]]
}

{
  "formula": "DyScPO",
  "functional": "PBE-GGA",
  "state": "optimized geometry",
  "energy_ev_per_atom": -7.44,
  "crystal_system": "orthorhombic",
  "cell": [[3.9205, 0.0000, 0.0000], [0.0000, 5.6720, 0.0000], [0.0000, 0.0000, 6.6766]],
  "species": ["Dy", "Dy", "Sc", "Sc", "P", "P", "O", "O"],
  "fractional_positions": [[0.0000, 0.0746, 0.0000], [0.0000, 0.9254, 0.5000], [0.5000, 0.3716, 0.3433], [0.5000, 0.6284, 0.8433], [0.5000, 0.1903, 0.7115], [0.5000, 0.8097, 0.2115], [0.0000, 0.2725, 0.2994], [0.0000, 0.7275, 0.7994]]
}

no.,volume (Å³ per cell)
1,120.4
2,135.1
3,121.0
4,127.2
5,162.4
6,144.5
7,167.3
8,148.5